(1)
## TlZnSe3 (GGA-PBE)

Data for an optimized crystal structure of TlZnSe3.

Calculated values
E_form (uncorrected)   0.7233 eV/atom

Cell lengths 5.407, 5.407, 5.407 Å; angles 90.00, 90.00, 90.00 degrees
Atoms (fractional coordinates):
Zn  0.500  0.500  0.500
Se  0.500  0.000  0.000
Se  0.000  0.000  0.500
Se  0.000  0.500  0.000
Tl  0.000  0.000  0.000

***

(2)
## PaCoSi2Ru (GGA-PBE)

Data for an optimized crystal structure of PaCoSi2Ru.

Calculated values
E_form (uncorrected)   -0.7859 eV/atom

Cell lengths 4.014, 4.014, 5.634 Å; angles 110.86, 110.86, 90.00 degrees
Atoms (fractional coordinates):
Si  0.376  0.376  0.752
Si  0.624  0.624  0.248
Ru  0.250  0.750  0.500
Pa  0.000  0.000  0.000
Co  0.750  0.250  0.500

***

(3)
## HfNb3Re (GGA-PBE)

Data for an optimized crystal structure of HfNb3Re.

Calculated values
Calculated formation energy   1.02 eV/atom

Cell lengths 4.854, 4.854, 4.854 Å; angles 90.00, 90.00, 90.00 degrees
Atoms (fractional coordinates):
Re  0.000  0.000  0.000
Nb  0.000  0.000  0.500
Nb  0.500  0.000  0.000
Nb  0.000  0.500  0.000
Hf  0.500  0.500  0.500

***

(4)
## CeZn7Cu5 (GGA-PBE)

Data for an optimized crystal structure of CeZn7Cu5.

Calculated values
Calculated formation energy   -0.15 eV/atom

Cell lengths 4.933, 6.744, 6.744 Å; angles 82.68, 68.55, 68.55 degrees
Site moments in Bohr magnetons follow the coordinates.
Atoms (fractional coordinates):
Zn  0.501  0.783  0.216  0.00
Zn  0.277  0.223  0.223  0.00
Zn  0.501  0.216  0.783  0.00
Zn  0.655  0.345  0.345  0.00
Zn  0.352  0.648  0.648  0.01
Zn  0.995  0.356  0.655  0.00
Zn  0.995  0.655  0.356  0.00
Cu  0.499  0.000  0.502  0.01
Cu  0.999  0.000  0.502  0.01
Cu  0.999  0.502  0.000  0.01
Cu  0.499  0.502  0.000  0.01
Cu  0.723  0.777  0.777  0.00
Ce  0.007  0.993  0.993  0.62

***

(5)
## TbSiO (GGA-PBE)

Data for an optimized crystal structure of TbSiO.

Calculated values
E_form (uncorrected)   -2.0130 eV/atom

Cell lengths 3.392, 3.392, 8.117 Å; angles 90.00, 90.00, 90.00 degrees
Atoms (fractional coordinates):
Tb  0.000  0.500  0.673
Tb  0.500  0.000  0.327
O  0.500  0.000  0.613
O  0.000  0.500  0.387
Si  0.500  0.500  0.000
Si  0.000  0.000  0.000

***

(6)
## MgHg3As (GGA-PBE)

Data for an optimized crystal structure of MgHg3As.

Calculated values
Calculated formation energy   0.28 eV/atom

Cell lengths 5.371, 5.371, 5.371 Å; angles 90.00, 90.00, 90.00 degrees
Atoms (fractional coordinates):
Mg  0.500  0.500  0.500
Hg  0.000  0.000  0.500
Hg  0.000  0.500  0.000
Hg  0.500  0.000  0.000
As  0.000  0.000  0.000